# 1
## Mn2FeRh (GGA-PBE)

Data for a geometry-optimized Mn2FeRh structure.

abc: 2.5774 2.5774 24.8549
angles: 90.00 90.00 120.00
Space group R-3m (No. 166, hexagonal axes)
Asymmetric unit:
Mn (0.0000, 0.0000, 0.2471) [6 per cell]
Fe (0.0000, 0.0000, 0.5000) [3 per cell]
Rh (0.0000, 0.0000, 0.0000) [3 per cell]

Computed properties:
- Energy relative to the lowest polymorph listed for this composition: 192.3 meV/atom
- Energy relative to the elements: 12.8 kJ per mole of atoms

# 2
## SrCoRh4 (GGA-PBE)

Data for a geometry-optimized SrCoRh4 structure.

abc: 7.468 7.468 7.468
angles: 90.00 90.00 90.00
Space group F-43m (No. 216)
Asymmetric unit:
Sr (0.000, 0.000, 0.000) [4 per cell]
Co (0.250, 0.250, 0.750) [4 per cell]
Rh (0.124, 0.124, 0.376) [16 per cell]

Computed properties:
- Energy relative to the elements: 23.1 kJ per mole of atoms

# 3
## LiTb2TmTl4 (GGA-PBE)

Data for a geometry-optimized LiTb2TmTl4 structure.

abc: 5.2299 5.2299 26.3979
angles: 90.00 90.00 120.00
Space group R-3m (No. 166, hexagonal axes)
Asymmetric unit:
Li (0.0000, 0.0000, 0.0000) [3 per cell]
Tb (0.0000, 0.0000, 0.2545) [6 per cell]
Tm (0.0000, 0.0000, 0.5000) [3 per cell]
Tl (0.0000, 0.0000, 0.1237) [6 per cell]
Tl (0.0000, 0.0000, 0.3732) [6 per cell]

Computed properties:
- Energy relative to the elements: -30.9 kJ per mole of atoms

# 4
## LaPmGe2Rh5 (GGA-PBE)

Data for a geometry-optimized LaPmGe2Rh5 structure.

abc: 4.235 4.235 9.113
angles: 90.00 90.00 90.00
Space group P4/mmm (No. 123)
Asymmetric unit:
La (0.000, 0.000, 0.000) [1 per cell]
Pm (0.000, 0.000, 0.500) [1 per cell]
Ge (0.500, 0.500, 0.359) [2 per cell]
Rh (0.000, 0.500, 0.232) [4 per cell]
Rh (0.500, 0.500, 0.000) [1 per cell]

Computed properties:
- Energy relative to the elements: -68.0 kJ per mole of atoms

# 5
## Nd6Ru2Au (GGA-PBE)

Data for a geometry-optimized Nd6Ru2Au structure.

abc: 13.970 4.562 10.258
angles: 90.00 125.84 90.00
Space group C2/m (No. 12)
Asymmetric unit:
Nd (0.008, 0.000, 0.191) [4 per cell]
Nd (0.149, 0.500, 0.527) [4 per cell]
Nd (0.228, 0.500, 0.124) [4 per cell]
Ru (0.102, 0.500, 0.771) [4 per cell]
Au (0.000, 0.000, 0.500) [2 per cell]

Computed properties:
- Energy relative to the lowest polymorph listed for this composition: 81.7 meV/atom
- Energy relative to the elements: -22.3 kJ per mole of atoms

# 6
## Au2Br3N2 (GGA-PBE)

Data for a geometry-optimized Au2Br3N2 structure.

abc: 13.233 3.967 10.053
angles: 90.00 126.22 90.00
Space group C2/m (No. 12)
Asymmetric unit:
Au (0.204, 0.000, 0.298) [4 per cell]
Br (0.000, 0.000, 0.000) [2 per cell]
Br (0.096, 0.500, 0.398) [4 per cell]
N (0.199, 0.500, 0.791) [4 per cell]

Computed properties:
- ΔE_f (raw): 1241 meV per atom

# 7
## CaFeCu (GGA-PBE)

Data for a geometry-optimized CaFeCu structure.

abc: 3.250 3.250 10.575
angles: 90.00 90.00 90.00
Space group I4mm (No. 107)
Asymmetric unit:
Ca (0.000, 0.000, 0.000) [2 per cell]
Fe (0.000, 0.000, 0.707) [2 per cell]
Cu (0.000, 0.000, 0.297) [2 per cell]

Computed properties:
- Energy relative to the elements: 32.4 kJ per mole of atoms

# 8
## BWS2 (GGA-PBE)

Data for a geometry-optimized BWS2 structure.

abc: 3.1671 3.1671 20.2611
angles: 90.00 90.00 120.00
Space group R-3m (No. 166, hexagonal axes)
Asymmetric unit:
B (0.0000, 0.0000, 0.0000) [3 per cell]
W (0.0000, 0.0000, 0.5000) [3 per cell]
S (0.0000, 0.0000, 0.0858) [6 per cell]

Computed properties:
- ΔE_f (raw): 340 meV per atom

# 9
## CrIrOs (GGA-PBE)

Data for a geometry-optimized CrIrOs structure.

abc: 2.684 3.755 8.111
angles: 90.00 90.00 90.00
Space group Imm2 (No. 44)
Asymmetric unit:
Cr (0.000, 0.000, 0.000) [2 per cell]
Ir (0.000, 0.000, 0.666) [2 per cell]
Os (0.000, 0.000, 0.341) [2 per cell]

Computed properties:
- Energy relative to the lowest polymorph listed for this composition: 133.0 meV/atom
- Energy relative to the elements: -0.6 kJ per mole of atoms

# 10
## Cs6KPt (GGA-PBE)

Data for a geometry-optimized Cs6KPt structure.

abc: 17.571 9.087 17.736
angles: 90.00 102.96 90.00
Space group C2/c (No. 15)
Asymmetric unit:
Cs (0.082, 0.107, 0.395) [8 per cell]
Cs (0.150, 0.449, 0.036) [8 per cell]
Cs (0.219, 0.090, 0.662) [8 per cell]
K (0.000, 0.382, 0.750) [4 per cell]
Pt (0.250, 0.250, 0.500) [4 per cell]

Computed properties:
- Energy relative to the elements: -2.6 kJ per mole of atoms

no.,size of the total moment (μB/f.u.)
1,0.4
2,4.5
3,0.0
4,0.0
5,0.0
6,4.8
7,2.7
8,0.0
9,0.0
10,0.0